Record 1
# LaMoAs2Br (SCAN, single point on PBEsol structure)
data_LaMoAs2Br
_chemical_formula_sum 'La1 Mo1 As2 Br1'
_symmetry_space_group_name_H-M 'P 4/m m m'
_symmetry_Int_Tables_number 123
_symmetry_space_group_name_Hall '-P 4 2'
_cell_length_a 5.589
_cell_length_b 5.589
_cell_length_c 5.525
_cell_angle_alpha 90.00
_cell_angle_beta 90.00
_cell_angle_gamma 90.00
loop_
_atom_site_label
_atom_site_fract_x
_atom_site_fract_y
_atom_site_fract_z
La1 0.000 0.000 0.000
Mo1 0.500 0.500 0.500
As1 0.000 0.500 0.000
Br1 0.000 0.000 0.500
# - raw total energy (eV per formula unit) = -134.5
# - offset from the most stable computed form (meV per atom) = 1091.6

Record 2
# LaMoAs2Br (SCAN, single point on PBEsol structure)
data_LaMoAs2Br
_chemical_formula_sum 'La1 Mo1 As2 Br1'
_symmetry_space_group_name_H-M 'P 4/m m m'
_symmetry_Int_Tables_number 123
_symmetry_space_group_name_Hall '-P 4 2'
_cell_length_a 4.800
_cell_length_b 4.800
_cell_length_c 5.159
_cell_angle_alpha 90.00
_cell_angle_beta 90.00
_cell_angle_gamma 90.00
loop_
_atom_site_label
_atom_site_fract_x
_atom_site_fract_y
_atom_site_fract_z
La1 0.000 0.000 0.000
Mo1 0.500 0.500 0.500
As1 0.000 0.500 0.500
Br1 0.500 0.500 0.000
# - raw total energy (eV per formula unit) = -139.9
# - offset from the most stable computed form (meV per atom) = 0.0

Record 3
# La3As2BrO7 (SCAN, single point on PBEsol structure)
data_La3As2BrO7
_chemical_formula_sum 'La12 As8 Br4 O28'
_symmetry_space_group_name_H-M 'P 42/m n m'
_symmetry_Int_Tables_number 136
_symmetry_space_group_name_Hall '-P 4n 2n'
_cell_length_a 12.974
_cell_length_b 12.974
_cell_length_c 5.561
_cell_angle_alpha 90.00
_cell_angle_beta 90.00
_cell_angle_gamma 90.00
loop_
_atom_site_label
_atom_site_fract_x
_atom_site_fract_y
_atom_site_fract_z
La1 0.047 0.363 0.000
La2 0.238 0.762 0.000
As1 0.027 0.789 0.500
Br1 0.146 0.146 0.000
O1 0.000 0.500 0.250
O2 0.082 0.293 0.500
O3 0.092 0.720 0.262
# - raw total energy (eV per formula unit) = -270.1

Record 4
# LaAs2PBr (SCAN, single point on PBEsol structure)
data_LaAs2PBr
_chemical_formula_sum 'La1 As2 P1 Br1'
_symmetry_space_group_name_H-M 'P 4/m m m'
_symmetry_Int_Tables_number 123
_symmetry_space_group_name_Hall '-P 4 2'
_cell_length_a 5.765
_cell_length_b 5.765
_cell_length_c 5.589
_cell_angle_alpha 90.00
_cell_angle_beta 90.00
_cell_angle_gamma 90.00
loop_
_atom_site_label
_atom_site_fract_x
_atom_site_fract_y
_atom_site_fract_z
La1 0.000 0.000 0.000
As1 0.000 0.500 0.000
P1 0.500 0.500 0.500
Br1 0.000 0.000 0.500
# - raw total energy (eV per formula unit) = -111.0

Record 5
# LaAsPtBr2 (SCAN, single point on PBEsol structure)
data_LaAsPtBr2
_chemical_formula_sum 'La1 As1 Pt1 Br2'
_symmetry_space_group_name_H-M 'P 4/m m m'
_symmetry_Int_Tables_number 123
_symmetry_space_group_name_Hall '-P 4 2'
_cell_length_a 5.522
_cell_length_b 5.522
_cell_length_c 6.045
_cell_angle_alpha 90.00
_cell_angle_beta 90.00
_cell_angle_gamma 90.00
loop_
_atom_site_label
_atom_site_fract_x
_atom_site_fract_y
_atom_site_fract_z
La1 0.000 0.000 0.000
As1 0.000 0.000 0.500
Pt1 0.500 0.500 0.500
Br1 0.000 0.500 0.000
# - raw total energy (eV per formula unit) = -171.9
# - offset from the most stable computed form (meV per atom) = 734.0

Record 6
# LaAsPtBr2 (SCAN, single point on PBEsol structure)
data_LaAsPtBr2
_chemical_formula_sum 'La1 As1 Pt1 Br2'
_symmetry_space_group_name_H-M 'P 4/m m m'
_symmetry_Int_Tables_number 123
_symmetry_space_group_name_Hall '-P 4 2'
_cell_length_a 4.943
_cell_length_b 4.943
_cell_length_c 5.102
_cell_angle_alpha 90.00
_cell_angle_beta 90.00
_cell_angle_gamma 90.00
loop_
_atom_site_label
_atom_site_fract_x
_atom_site_fract_y
_atom_site_fract_z
La1 0.000 0.000 0.000
As1 0.500 0.500 0.000
Pt1 0.500 0.500 0.500
Br1 0.000 0.500 0.500
# - raw total energy (eV per formula unit) = -175.5
# - offset from the most stable computed form (meV per atom) = 0.0

Record 7
# LaAsRuBr2 (SCAN, single point on PBEsol structure)
data_LaAsRuBr2
_chemical_formula_sum 'La1 As1 Ru1 Br2'
_symmetry_space_group_name_H-M 'P 4/m m m'
_symmetry_Int_Tables_number 123
_symmetry_space_group_name_Hall '-P 4 2'
_cell_length_a 5.028
_cell_length_b 5.028
_cell_length_c 5.959
_cell_angle_alpha 90.00
_cell_angle_beta 90.00
_cell_angle_gamma 90.00
loop_
_atom_site_label
_atom_site_fract_x
_atom_site_fract_y
_atom_site_fract_z
La1 0.000 0.000 0.000
As1 0.000 0.000 0.500
Ru1 0.500 0.500 0.000
Br1 0.000 0.500 0.500
# - raw total energy (eV per formula unit) = -134.6
# - offset from the most stable computed form (meV per atom) = 686.5

Record 8
# LaAsRuBr2 (SCAN, single point on PBEsol structure)
data_LaAsRuBr2
_chemical_formula_sum 'La1 As1 Ru1 Br2'
_symmetry_space_group_name_H-M 'P 4/m m m'
_symmetry_Int_Tables_number 123
_symmetry_space_group_name_Hall '-P 4 2'
_cell_length_a 4.842
_cell_length_b 4.842
_cell_length_c 5.356
_cell_angle_alpha 90.00
_cell_angle_beta 90.00
_cell_angle_gamma 90.00
loop_
_atom_site_label
_atom_site_fract_x
_atom_site_fract_y
_atom_site_fract_z
La1 0.000 0.000 0.000
As1 0.500 0.500 0.000
Ru1 0.000 0.000 0.500
Br1 0.000 0.500 0.500
# - raw total energy (eV per formula unit) = -138.0
# - offset from the most stable computed form (meV per atom) = 0.0

Size of the total moment, respectively: 0.6993 0.0000 0.0000 0.0828 0.4771 0.0000 0.5273 0.0000 μB/atom.